Entry 1:
VASP calculation (GGA-PBE) on GePbSN2 after structural relaxation.

For the uncorrected formation energy, the calculation gives 19.97 kcal/mol of atoms.

The space group is P4/mmm (No. 123) and the conventional cell measures 3.9805, 3.9805 and 4.9899 Å, with angles of 90.00, 90.00 and 90.00 degrees. The asymmetric unit holds Ge at (0.0000, 0.0000, 0.0000), Pb at (0.5000, 0.5000, 0.5000), S at (0.0000, 0.0000, 0.5000) and N at (0.0000, 0.5000, 0.0000).

Entry 2:
VASP calculation (GGA-PBE) on RbCa2H after structural relaxation.

As for the raw total energy: -2.04 eV/atom.

The space group is R-3m (No. 166, hexagonal axes) and the conventional cell measures 3.9000, 3.9000 and 32.3490 Å, with angles of 90.00, 90.00 and 120.00 degrees. The asymmetric unit holds Rb at (0.0000, 0.0000, 0.0000), Ca at (0.0000, 0.0000, 0.1226) and H at (0.0000, 0.0000, 0.5000).

Entry 3:
VASP calculation (GGA-PBE) on Tc4OsRu after structural relaxation.

As for the raw total energy: -10.39 eV/atom.

The space group is Amm2 (No. 38) and the conventional cell measures 4.3743, 2.7587 and 14.2883 Å, with angles of 90.00, 90.00 and 90.00 degrees. The asymmetric unit holds Tc at (0.0000, 0.0000, 0.0000), Tc at (0.0000, 0.0000, 0.3317), Tc at (0.5000, 0.0000, 0.2220), Tc at (0.5000, 0.0000, 0.5548), Os at (0.5000, 0.0000, 0.8889) and Ru at (0.0000, 0.0000, 0.6659).